1.
Entry from Alexandria via LeMat-Bulk: an optimized crystal structure of LaCdPd3 (PBE-GGA).

Computed properties:
Calculated volume = 21.582 Å³ per atom
Space-group type = P6_3/mmc
Density of states at the Fermi level = 2.33 states/eV/f.u.
Offset from the most stable computed form = 0.00 eV/f.u.
Total magnetization = 0.0 μB per cell
Formation energy = -517 meV per atom

CIF file:
```
data_LaCdPd3
_chemical_formula_sum 'La2 Cd2 Pd6'
_space_group_name_H-M_alt 'P 1'
_space_group_IT_number 1
_cell_length_a 5.765
_cell_length_b 6.575
_cell_length_c 6.575
_cell_angle_alpha 120.00
_cell_angle_beta 90.00
_cell_angle_gamma 90.00
loop_
_space_group_symop_operation_xyz
'x,y,z'
loop_
_atom_site_label
_atom_site_fract_x
_atom_site_fract_y
_atom_site_fract_z
La1 0.250 0.334 0.666
La2 0.750 0.666 0.334
Cd1 0.000 0.000 0.000
Cd2 0.500 0.000 0.000
Pd1 0.250 0.801 0.199
Pd2 0.750 0.199 0.801
Pd3 0.250 0.801 0.602
Pd4 0.750 0.199 0.398
Pd5 0.250 0.398 0.199
Pd6 0.750 0.602 0.801
```

2.
Entry from Alexandria via LeMat-Bulk: an optimized crystal structure of TbYGeRh (PBE-GGA).

Computed properties:
Calculated volume = 22.481 Å³ per atom
Space-group type = Amm2
Density of states at the Fermi level = 2.86 states/eV/f.u.
Offset from the most stable computed form = 0.00 eV/f.u.
Total magnetization = 0.0 μB per cell
Formation energy = -863 meV per atom

CIF file:
```
data_TbYGeRh
_chemical_formula_sum 'Tb1 Y1 Ge1 Rh1'
_space_group_name_H-M_alt 'P 1'
_space_group_IT_number 1
_cell_length_a 4.067
_cell_length_b 4.176
_cell_length_c 5.672
_cell_angle_alpha 90.00
_cell_angle_beta 111.01
_cell_angle_gamma 90.00
loop_
_space_group_symop_operation_xyz
'x,y,z'
loop_
_atom_site_label
_atom_site_fract_x
_atom_site_fract_y
_atom_site_fract_z
Tb1 0.142 0.000 0.284
Y1 0.862 0.500 0.724
Ge1 0.575 0.500 0.150
Rh1 0.421 0.000 0.842
```

3.
Entry from Alexandria via LeMat-Bulk: an optimized crystal structure of NaTlS2 (PBE-GGA).

Computed properties:
Calculated volume = 21.504 Å³ per atom
Space-group type = Fm-3m
Density of states at the Fermi level = 4.73 states/eV/f.u.
Total magnetization = 0.0 μB per cell
Formation energy (no corrections) = -0.15 eV/atom

CIF file:
```
data_NaTlS2
_chemical_formula_sum 'Na1 Tl1 S2'
_space_group_name_H-M_alt 'P 1'
_space_group_IT_number 1
_cell_length_a 4.955
_cell_length_b 4.955
_cell_length_c 4.955
_cell_angle_alpha 60.00
_cell_angle_beta 60.00
_cell_angle_gamma 60.00
loop_
_space_group_symop_operation_xyz
'x,y,z'
loop_
_atom_site_label
_atom_site_fract_x
_atom_site_fract_y
_atom_site_fract_z
Na1 0.000 0.000 0.000
Tl1 0.500 0.500 0.500
S1 0.250 0.250 0.250
S2 0.750 0.750 0.750
```

4.
Entry from Alexandria via LeMat-Bulk: an optimized crystal structure of SrCrN3 (PBE-GGA).

Computed properties:
Calculated volume = 17.053 Å³ per atom
Space-group type = Pm-3m
Density of states at the Fermi level = 3.24 states/eV/f.u.
Total magnetization = 0.8 μB per cell
Formation energy (no corrections) = 2.37 eV/atom

CIF file:
```
data_SrCrN3
_chemical_formula_sum 'Sr1 Cr1 N3'
_space_group_name_H-M_alt 'P 1'
_space_group_IT_number 1
_cell_length_a 4.401
_cell_length_b 4.401
_cell_length_c 4.401
_cell_angle_alpha 90.00
_cell_angle_beta 90.00
_cell_angle_gamma 90.00
loop_
_space_group_symop_operation_xyz
'x,y,z'
loop_
_atom_site_label
_atom_site_fract_x
_atom_site_fract_y
_atom_site_fract_z
Sr1 0.000 0.000 0.000
N1 0.000 0.500 0.000
N2 0.000 0.000 0.500
N3 0.500 0.000 0.000
Cr1 0.500 0.500 0.500
```

5.
Entry from Alexandria via LeMat-Bulk: an optimized crystal structure of RbGe2Br (PBE-GGA).

Computed properties:
Calculated volume = 35.272 Å³ per atom
Space-group type = I-42d
Density of states at the Fermi level = 1.94 states/eV/f.u.
Offset from the most stable computed form = 0.00 eV/f.u.
Total magnetization = 0.0 μB per cell
Formation energy (no corrections) = -0.16 eV/atom

CIF file:
```
data_RbGe2Br
_chemical_formula_sum 'Rb2 Ge4 Br2'
_space_group_name_H-M_alt 'P 1'
_space_group_IT_number 1
_cell_length_a 4.892
_cell_length_b 4.892
_cell_length_c 12.287
_cell_angle_alpha 78.52
_cell_angle_beta 78.52
_cell_angle_gamma 90.00
loop_
_space_group_symop_operation_xyz
'x,y,z'
loop_
_atom_site_label
_atom_site_fract_x
_atom_site_fract_y
_atom_site_fract_z
Ge1 0.427 0.125 0.250
Ge2 0.323 0.625 0.250
Ge3 0.375 0.573 0.750
Ge4 0.875 0.677 0.750
Br1 0.500 0.500 0.000
Br2 0.250 0.750 0.500
Rb1 0.000 0.000 0.000
Rb2 0.750 0.250 0.500
```

6.
Entry from Alexandria via LeMat-Bulk: an optimized crystal structure of Ca3IBr5 (PBE-GGA).

Computed properties:
Calculated volume = 35.944 Å³ per atom
Space-group type = Cmmm
Density of states at the Fermi level = 0.00 states/eV/f.u.
Total magnetization = 0.0 μB per cell
Formation energy (no corrections) = -1.94 eV/atom

CIF file:
```
data_Ca3IBr5
_chemical_formula_sum 'Ca6 I2 Br10'
_space_group_name_H-M_alt 'P 1'
_space_group_IT_number 1
_cell_length_a 4.449
_cell_length_b 9.673
_cell_length_c 15.791
_cell_angle_alpha 107.84
_cell_angle_beta 90.00
_cell_angle_gamma 90.00
loop_
_space_group_symop_operation_xyz
'x,y,z'
loop_
_atom_site_label
_atom_site_fract_x
_atom_site_fract_y
_atom_site_fract_z
Ca1 0.000 0.000 0.000
Ca2 0.500 0.500 0.000
Ca3 0.000 0.324 0.649
Ca4 0.500 0.163 0.327
Ca5 0.500 0.837 0.673
Ca6 0.000 0.676 0.351
I1 0.500 0.397 0.793
I2 0.500 0.603 0.207
Br1 0.000 0.303 0.000
Br2 0.000 0.697 0.000
Br3 0.000 0.027 0.664
Br4 0.500 0.263 0.525
Br5 0.500 0.935 0.871
Br6 0.000 0.637 0.664
Br7 0.000 0.363 0.336
Br8 0.500 0.065 0.129
Br9 0.500 0.737 0.475
Br10 0.000 0.973 0.336
```

7.
Entry from Alexandria via LeMat-Bulk: an optimized crystal structure of LaCrRh2 (PBE-GGA).

Computed properties:
Calculated volume = 16.988 Å³ per atom
Space-group type = R3m
Density of states at the Fermi level = 5.97 states/eV/f.u.
Offset from the most stable computed form = 2.67 eV/f.u.
Total magnetization = 0.7 μB per cell
Formation energy = 520 meV per atom

CIF file:
```
data_LaCrRh2
_chemical_formula_sum 'La1 Cr1 Rh2'
_space_group_name_H-M_alt 'P 1'
_space_group_IT_number 1
_cell_length_a 9.523
_cell_length_b 9.523
_cell_length_c 9.523
_cell_angle_alpha 17.47
_cell_angle_beta 17.47
_cell_angle_gamma 17.47
loop_
_space_group_symop_operation_xyz
'x,y,z'
loop_
_atom_site_label
_atom_site_fract_x
_atom_site_fract_y
_atom_site_fract_z
Cr1 0.488 0.488 0.488
La1 0.250 0.250 0.250
Rh1 0.007 0.007 0.007
Rh2 0.755 0.755 0.755
```

8.
Entry from Alexandria via LeMat-Bulk: an optimized crystal structure of CdMo8 (PBE-GGA).

Computed properties:
Calculated volume = 16.450 Å³ per atom
Space-group type = I4/mmm
Density of states at the Fermi level = 10.13 states/eV/f.u.
Total magnetization = 0.0 μB per cell
Formation energy = 412 meV per atom

CIF file:
```
data_CdMo8
_chemical_formula_sum 'Cd1 Mo8'
_space_group_name_H-M_alt 'P 1'
_space_group_IT_number 1
_cell_length_a 6.174
_cell_length_b 6.174
_cell_length_c 6.174
_cell_angle_alpha 97.52
_cell_angle_beta 97.52
_cell_angle_gamma 137.57
loop_
_space_group_symop_operation_xyz
'x,y,z'
loop_
_atom_site_label
_atom_site_fract_x
_atom_site_fract_y
_atom_site_fract_z
Cd1 0.000 0.000 0.000
Mo1 0.338 0.000 0.338
Mo2 0.662 0.000 0.662
Mo3 0.000 0.338 0.338
Mo4 0.336 0.336 0.671
Mo5 0.664 0.336 0.000
Mo6 0.000 0.662 0.662
Mo7 0.336 0.664 0.000
Mo8 0.664 0.664 0.329
```